[1]
A relaxed structure of ThTl2Te4Au2, computed with PBE.

Calculated values
E_tot	-0.1482	Ha/atom
magnetic moment	0.0000	μB/atom

a = 8.3264 Å, b = 8.3264 Å, c = 8.5440 Å
α = 108.32°, β = 108.32°, γ = 31.35°
Sites, in units of the cell vectors:
Th1 0.0000 0.0000 0.0000
Tl1 0.1376 0.1376 0.5901
Tl2 0.8624 0.8624 0.4099
Te1 0.2035 0.2035 0.2079
Te2 0.4893 0.4893 0.2566
Te3 0.5107 0.5107 0.7434
Te4 0.7965 0.7965 0.7921
Au1 0.3335 0.3335 0.9979
Au2 0.6665 0.6665 0.0021

[2]
A relaxed structure of CaPr4Ir2, computed with PBE.

Calculated values
N(E_F)	1.2025	states/eV/atom
offset from the most stable computed form	0	meV per atom
E_tot	-0.2176	Ha/atom
magnetic moment	0.0000	μB/atom

a = 7.4356 Å, b = 6.8415 Å, c = 9.2810 Å
α = 90.00°, β = 113.43°, γ = 90.00°
Sites, in units of the cell vectors:
Ca1 0.0410 0.2500 0.2938
Ca2 0.9590 0.7500 0.7062
Pr1 0.2452 0.2500 0.7075
Pr2 0.2792 0.5022 0.0576
Pr3 0.2792 0.9978 0.0576
Pr4 0.3340 0.7500 0.5037
Pr5 0.6660 0.2500 0.4963
Pr6 0.7208 0.0022 0.9424
Pr7 0.7208 0.4978 0.9424
Pr8 0.7548 0.7500 0.2925
Ir1 0.0373 0.7500 0.1716
Ir2 0.3771 0.7500 0.8330
Ir3 0.6229 0.2500 0.1670
Ir4 0.9627 0.2500 0.8284

[3]
A relaxed structure of Ti5CoSe10, computed with PBE.

Calculated values
N(E_F)	0.3999	states/eV/atom
E_tot	-0.2249	Ha/atom
magnetic moment	0.0718	μB/atom

a = 6.1368 Å, b = 6.9703 Å, c = 8.5763 Å
α = 106.77°, β = 110.90°, γ = 90.05°
Sites, in units of the cell vectors:
Ti1 0.0000 0.0000 0.0000
Ti2 0.1910 0.3994 0.3979
Ti3 0.4059 0.7959 0.7995
Ti4 0.5941 0.2041 0.2005
Ti5 0.8090 0.6006 0.6021
Co1 0.5000 0.5000 0.0000
Se1 0.0848 0.7560 0.4989
Se2 0.1213 0.6431 0.9070
Se3 0.2804 0.1550 0.8927
Se4 0.3158 0.0479 0.3027
Se5 0.4811 0.5597 0.2980
Se6 0.5189 0.4403 0.7020
Se7 0.6842 0.9521 0.6973
Se8 0.7196 0.8450 0.1073
Se9 0.8787 0.3569 0.0930
Se10 0.9152 0.2440 0.5011

[4]
A relaxed structure of AcY10Er4, computed with PBE.

Calculated values
N(E_F)	1.2746	states/eV/atom
E_tot	-0.1856	Ha/atom
magnetic moment	0.0000	μB/atom

a = 9.4782 Å, b = 9.4782 Å, c = 9.4782 Å
α = 99.70°, β = 99.70°, γ = 131.52°
Sites, in units of the cell vectors:
Ac1 0.0000 0.0000 0.0000
Y1 0.0501 0.1570 0.6886
Y2 0.1570 0.4683 0.1068
Y3 0.2500 0.7500 0.5000
Y4 0.3615 0.0501 0.8932
Y5 0.4683 0.3615 0.3114
Y6 0.5317 0.6385 0.6886
Y7 0.6385 0.9499 0.1068
Y8 0.7500 0.2500 0.5000
Y9 0.8430 0.5317 0.8932
Y10 0.9499 0.8430 0.3114
Er1 0.2007 0.6011 0.8018
Er2 0.3989 0.2007 0.5996
Er3 0.6011 0.7993 0.4004
Er4 0.7993 0.3989 0.1982